Entry 1:
Here is AsOsI2 at its PBEsol-relaxed geometry from Alexandria via LeMat-Bulk. Energies are from SCAN.

a = 4.897 Å, b = 4.897 Å, c = 4.897 Å
α = 60.00°, β = 60.00°, γ = 60.00°
Positions (direct):
I  0.250  0.250  0.250
I  0.750  0.750  0.750
Os  0.500  0.500  0.500
As  0.000  0.000  0.000

Results
Total magnetic moment (μB per formula unit): 0.01
Raw total energy (eV per atom): -39.787
Space-group type: Fm-3m, No. 225


Entry 2:
Here is As2Pb2I at its PBEsol-relaxed geometry from Alexandria via LeMat-Bulk. Energies are from SCAN.

a = 4.226 Å, b = 4.226 Å, c = 8.590 Å
α = 104.24°, β = 104.24°, γ = 90.00°
Positions (direct):
Pb  0.620  0.620  0.240
Pb  0.380  0.380  0.760
As  0.250  0.750  0.500
As  0.750  0.250  0.500
I  0.000  0.000  0.000

Results
Total magnetic moment (μB per formula unit): 0.00
Raw total energy (eV per atom): -45.851
Space-group type: I4/mmm, No. 139


Entry 3:
Here is AsPb2S3I at its PBEsol-relaxed geometry from Alexandria via LeMat-Bulk. Energies are from SCAN.

a = 6.631 Å, b = 9.396 Å, c = 11.602 Å
α = 90.00°, β = 90.00°, γ = 90.00°
Positions (direct):
S  0.500  0.080  0.206
S  0.750  0.203  0.902
S  0.000  0.920  0.794
S  0.000  0.080  0.206
S  0.000  0.580  0.294
S  0.000  0.420  0.706
S  0.750  0.297  0.402
S  0.500  0.920  0.794
S  0.500  0.580  0.294
S  0.250  0.703  0.598
S  0.250  0.797  0.098
S  0.500  0.420  0.706
I  0.250  0.402  0.050
I  0.750  0.902  0.450
I  0.750  0.598  0.950
I  0.250  0.098  0.550
As  0.250  0.465  0.578
As  0.250  0.035  0.078
As  0.750  0.535  0.422
As  0.750  0.965  0.922
Pb  0.750  0.303  0.129
Pb  0.250  0.286  0.324
Pb  0.750  0.786  0.176
Pb  0.250  0.214  0.824
Pb  0.250  0.803  0.371
Pb  0.750  0.714  0.676
Pb  0.250  0.697  0.871
Pb  0.750  0.197  0.629

Results
Total magnetic moment (μB per formula unit): 0.00
Raw total energy (eV per atom): -34.358
Space-group type: Pnma, No. 62


Entry 4:
Here is SbAsPbI2 at its PBEsol-relaxed geometry from Alexandria via LeMat-Bulk. Energies are from SCAN.

a = 5.510 Å, b = 5.510 Å, c = 5.507 Å
α = 90.00°, β = 90.00°, γ = 90.00°
Positions (direct):
Pb  0.500  0.500  0.500
Sb  0.000  0.000  0.500
As  0.000  0.000  0.000
I  0.000  0.500  0.000
I  0.500  0.000  0.000

Results
Total magnetic moment (μB per formula unit): 0.00
Raw total energy (eV per atom): -41.019
Space-group type: P4/mmm, No. 123


Entry 5:
Here is TeAs2PbI at its PBEsol-relaxed geometry from Alexandria via LeMat-Bulk. Energies are from SCAN.

a = 5.242 Å, b = 5.242 Å, c = 6.186 Å
α = 90.00°, β = 90.00°, γ = 90.00°
Positions (direct):
As  0.000  0.500  0.000
As  0.500  0.000  0.000
I  0.500  0.500  0.500
Te  0.000  0.000  0.000
Pb  0.000  0.000  0.500

Results
Total magnetic moment (μB per formula unit): 0.00
Raw total energy (eV per atom): -37.376
Space-group type: P4/mmm, No. 123


Entry 6:
Here is TlAsPbI2 at its PBEsol-relaxed geometry from Alexandria via LeMat-Bulk. Energies are from SCAN.

a = 5.402 Å, b = 6.191 Å, c = 6.191 Å
α = 90.00°, β = 90.00°, γ = 90.00°
Last column: magnetic moment on the atom in μB.
Positions (direct):
Pb  0.000  0.000  0.000  -0.03
Tl  0.500  0.500  0.500  0.00
I  0.000  0.500  0.000  0.06
I  0.000  0.000  0.500  0.06
As  0.500  0.000  0.000  0.56

Results
Total magnetic moment (μB per formula unit): 1.38
Raw total energy (eV per atom): -48.318
Space-group type: P4/mmm, No. 123


Entry 7:
Here is AsPd3I at its PBEsol-relaxed geometry from Alexandria via LeMat-Bulk. Energies are from SCAN.

a = 4.887 Å, b = 4.887 Å, c = 4.887 Å
α = 90.00°, β = 90.00°, γ = 90.00°
Positions (direct):
Pd  0.000  0.000  0.500
Pd  0.500  0.000  0.000
Pd  0.000  0.500  0.000
As  0.500  0.500  0.500
I  0.000  0.000  0.000

Results
Total magnetic moment (μB per formula unit): 0.00
Raw total energy (eV per atom): -30.188
Space-group type: Pm-3m, No. 221


Entry 8:
Here is AsPd2I at its PBEsol-relaxed geometry from Alexandria via LeMat-Bulk. Energies are from SCAN.

a = 4.679 Å, b = 4.679 Å, c = 4.679 Å
α = 60.00°, β = 60.00°, γ = 60.00°
Positions (direct):
Pd  0.250  0.250  0.250
Pd  0.750  0.750  0.750
I  0.500  0.500  0.500
As  0.000  0.000  0.000

Results
Total magnetic moment (μB per formula unit): 0.00
Raw total energy (eV per atom): -30.417
Space-group type: Fm-3m, No. 225